Compound: BaSrCo2O6
Source: Alexandria
Functional: GGA+U
Structure: relaxed

Cell: 5.604 5.604 4.732 Å, 90.00 90.00 120.00°
Sites, in units of the cell vectors:
1 Ba 0.000 0.000 0.000
2 Sr 0.333 0.667 0.500
3 Co 0.667 0.333 0.250
4 Co 0.667 0.333 0.750
5 O 0.365 0.182 0.500
6 O 0.515 0.029 0.000
7 O 0.515 0.485 0.000
8 O 0.818 0.182 0.500
9 O 0.818 0.635 0.500
10 O 0.971 0.485 0.000

Summary:
Magnetization (μB per cell): 2.008
Raw total energy (eV/atom): -6.00